6
Lattice="3.486 0.000 0.000 0.000 3.486 0.000 0.000 0.000 12.431" Properties=species:S:1:pos:R:3 comment="NdLuCu | the Alexandria database | PBE | relaxed" magnetic_moment_mub_per_fu=0.000 space_group="I4mm (107)" de_polymorph_ev_per_fu=0.00 ef_mev_per_atom=-126 pbc="T T T"
Nd 0.000 0.000 0.000
Nd 1.743 1.743 6.215
Lu 0.000 0.000 3.465
Lu 1.743 1.743 9.680
Cu 0.000 0.000 8.222
Cu 1.743 1.743 2.007